Material: Ni2IrOs
Method: DFT, GGA-PBEsol
State: optimized geometry

Output
The offset from the most stable computed form comes out at 0.24 eV per formula unit. The total energy is -34.1 eV for the cell shown. Its energy of formation is 0.07 eV per atom.

CIF file:
```
data_Ni2IrOs
_cell_length_a 2.661
_cell_length_b 2.661
_cell_length_c 6.963
_cell_angle_alpha 90.00
_cell_angle_beta 90.00
_cell_angle_gamma 90.00
_symmetry_space_group_name_H-M 'P 4 m m'
_symmetry_Int_Tables_number 99
loop_
_symmetry_equiv_pos_as_xyz
'x,y,z'
'-y,x,z'
'-x,-y,z'
'y,-x,z'
'-x,y,z'
'y,x,z'
'x,-y,z'
'-y,-x,z'
loop_
_atom_site_label
_atom_site_fract_x
_atom_site_fract_y
_atom_site_fract_z
Ni1 0.000 0.000 0.000
Ni2 0.500 0.500 0.229
Ir1 0.500 0.500 0.745
Os1 0.000 0.000 0.476
```